[1]
# Mn2AlFe (PBE, relaxed)
data_Mn2AlFe
_chemical_formula_sum 'Mn4 Al2 Fe2'
_symmetry_space_group_name_H-M 'I m m m'
_symmetry_Int_Tables_number 71
_symmetry_space_group_name_Hall '-I 2 2'
_cell_length_a 2.8434
_cell_length_b 3.8993
_cell_length_c 8.0677
_cell_angle_alpha 90.00
_cell_angle_beta 90.00
_cell_angle_gamma 90.00
loop_
_atom_site_label
_atom_site_type_symbol
_atom_site_fract_x
_atom_site_fract_y
_atom_site_fract_z
_atom_site_occupancy
Mn1 Mn 0.0000 0.0000 0.2478 1
Al1 Al 0.0000 0.5000 0.0000 1
Fe1 Fe 0.0000 0.5000 0.5000 1
# energy = -0.5677 Ry per atom
# theoretical density = 7.15 g/cm3
# formation energy from the elements = -0.088 eV per atom

***

[2]
# Ta2FeIr (PBE, relaxed)
data_Ta2FeIr
_chemical_formula_sum 'Ta4 Fe2 Ir2'
_symmetry_space_group_name_H-M 'C 1 m 1'
_symmetry_Int_Tables_number 8
_symmetry_space_group_name_Hall 'C -2y'
_cell_length_a 9.4152
_cell_length_b 2.8687
_cell_length_c 4.7415
_cell_angle_alpha 90.00
_cell_angle_beta 101.50
_cell_angle_gamma 90.00
loop_
_atom_site_label
_atom_site_type_symbol
_atom_site_fract_x
_atom_site_fract_y
_atom_site_fract_z
_atom_site_occupancy
Ta1 Ta 0.0000 0.0000 0.0000 1
Ta2 Ta 0.2272 0.0000 0.6690 1
Fe1 Fe 0.2434 0.5000 0.1817 1
Ir1 Ir 0.4726 0.0000 0.4741 1
# energy = -0.7690 Ry per atom
# theoretical density = 16.14 g/cm3
# formation energy from the elements = -0.205 eV per atom

***

[3]
# YSiTc (PBE, relaxed)
data_YSiTc
_chemical_formula_sum 'Y2 Si2 Tc2'
_symmetry_space_group_name_H-M 'I 4 m m'
_symmetry_Int_Tables_number 107
_symmetry_space_group_name_Hall 'I 4 -2'
_cell_length_a 3.2938
_cell_length_b 3.2938
_cell_length_c 10.1361
_cell_angle_alpha 90.00
_cell_angle_beta 90.00
_cell_angle_gamma 90.00
loop_
_atom_site_label
_atom_site_type_symbol
_atom_site_fract_x
_atom_site_fract_y
_atom_site_fract_z
_atom_site_occupancy
Y1 Y 0.0000 0.0000 0.0000 1
Si1 Si 0.0000 0.0000 0.2952 1
Tc1 Tc 0.0000 0.0000 0.7022 1
# energy = -0.5791 Ry per atom
# theoretical density = 6.49 g/cm3
# formation energy without anion corrections = -0.461 eV per atom

***

[4]
# SmDyRh (PBE, relaxed)
data_SmDyRh
_chemical_formula_sum 'Sm1 Dy1 Rh1'
_symmetry_space_group_name_H-M 'P 3 m 1'
_symmetry_Int_Tables_number 156
_symmetry_space_group_name_Hall 'P 3 -2"'
_cell_length_a 4.5463
_cell_length_b 4.5463
_cell_length_c 4.2557
_cell_angle_alpha 90.00
_cell_angle_beta 90.00
_cell_angle_gamma 120.00
loop_
_atom_site_label
_atom_site_type_symbol
_atom_site_fract_x
_atom_site_fract_y
_atom_site_fract_z
_atom_site_occupancy
Sm1 Sm 0.0000 0.0000 0.0000 1
Dy1 Dy 0.3333 0.6667 0.5290 1
Rh1 Rh 0.6667 0.3333 0.2901 1
# energy = -0.4371 Ry per atom
# theoretical density = 9.06 g/cm3
# formation energy from the elements = -0.390 eV per atom

***

[5]
# Al2TlRu (PBE, relaxed)
data_Al2TlRu
_chemical_formula_sum 'Al4 Tl2 Ru2'
_symmetry_space_group_name_H-M 'C m m m'
_symmetry_Int_Tables_number 65
_symmetry_space_group_name_Hall '-C 2 2'
_cell_length_a 5.7538
_cell_length_b 7.1115
_cell_length_c 3.3006
_cell_angle_alpha 90.00
_cell_angle_beta 90.00
_cell_angle_gamma 90.00
loop_
_atom_site_label
_atom_site_type_symbol
_atom_site_fract_x
_atom_site_fract_y
_atom_site_fract_z
_atom_site_occupancy
Al1 Al 0.2500 0.2500 0.0000 1
Tl1 Tl 0.0000 0.0000 0.5000 1
Ru1 Ru 0.0000 0.5000 0.5000 1
# energy = -0.3384 Ry per atom
# theoretical density = 8.84 g/cm3
# formation energy from the elements = 0.178 eV per atom

***

[6]
# ErScCuHg (PBE, relaxed)
data_ErScCuHg
_chemical_formula_sum 'Er4 Sc4 Cu4 Hg4'
_symmetry_space_group_name_H-M 'F -4 3 m'
_symmetry_Int_Tables_number 216
_symmetry_space_group_name_Hall 'F -4 2 3'
_cell_length_a 6.9976
_cell_length_b 6.9976
_cell_length_c 6.9976
_cell_angle_alpha 90.00
_cell_angle_beta 90.00
_cell_angle_gamma 90.00
loop_
_atom_site_label
_atom_site_type_symbol
_atom_site_fract_x
_atom_site_fract_y
_atom_site_fract_z
_atom_site_occupancy
Er1 Er 0.0000 0.0000 0.0000 1
Sc1 Sc 0.0000 0.0000 0.5000 1
Cu1 Cu 0.2500 0.2500 0.7500 1
Hg1 Hg 0.2500 0.2500 0.2500 1
# energy = -0.3043 Ry per atom
# theoretical density = 9.23 g/cm3
# formation energy from the elements = -0.318 eV per atom

***

[7]
# Y4TlSb (PBE, relaxed)
data_Y4TlSb
_chemical_formula_sum 'Y16 Tl4 Sb4'
_symmetry_space_group_name_H-M 'P n m a'
_symmetry_Int_Tables_number 62
_symmetry_space_group_name_Hall '-P 2ac 2n'
_cell_length_a 8.3941
_cell_length_b 4.3492
_cell_length_c 19.2249
_cell_angle_alpha 90.00
_cell_angle_beta 90.00
_cell_angle_gamma 90.00
loop_
_atom_site_label
_atom_site_type_symbol
_atom_site_fract_x
_atom_site_fract_y
_atom_site_fract_z
_atom_site_occupancy
Y1 Y 0.0028 0.2500 0.0688 1
Y2 Y 0.0456 0.2500 0.7853 1
Y3 Y 0.1243 0.2500 0.3425 1
Y4 Y 0.1521 0.2500 0.5660 1
Tl1 Tl 0.2307 0.7500 0.4483 1
Sb1 Sb 0.2454 0.7500 0.6899 1
# energy = -0.4353 Ry per atom
# theoretical density = 6.45 g/cm3
# formation energy without anion corrections = -0.532 eV per atom

***

[8]
# PbIO2 (PBE, relaxed)
data_PbIO2
_chemical_formula_sum 'Pb4 I4 O8'
_symmetry_space_group_name_H-M 'F m -3 m'
_symmetry_Int_Tables_number 225
_symmetry_space_group_name_Hall '-F 4 2 3'
_cell_length_a 6.5721
_cell_length_b 6.5721
_cell_length_c 6.5721
_cell_angle_alpha 90.00
_cell_angle_beta 90.00
_cell_angle_gamma 90.00
loop_
_atom_site_label
_atom_site_type_symbol
_atom_site_fract_x
_atom_site_fract_y
_atom_site_fract_z
_atom_site_occupancy
Pb1 Pb 0.0000 0.0000 0.0000 1
I1 I 0.0000 0.0000 0.5000 1
O1 O 0.2500 0.2500 0.2500 1
# energy = -0.2589 Ry per atom
# theoretical density = 8.57 g/cm3
# formation energy without anion corrections = 0.271 eV per atom

***

Q: What is the theoretical density in the third record?
A: 6.49 g/cm3